a.
This record from Alexandria describes crystalline Li2CuCl at its relaxed geometry. The functional is PBE.

Values from the calculation:
Fermi-level density of states   0.00 states/eV per atom
Total magnetic moment   0.000 μB/atom
Crystal system   cubic

a b c (Å): 6.5289 6.5289 6.5289
angles (deg): 90.00 90.00 90.00
Closest atoms and distances in Å follow each position.
Space group Fm-3m (No. 225)
Inequivalent atoms, fractional coordinates:
Li 0.2500 0.2500 0.2500 (multiplicity 8)  4 Cl 2.83, 4 Cu 2.83
Cu 0.0000 0.0000 0.0000 (multiplicity 4)  8 Li 2.83
Cl 0.0000 0.0000 0.5000 (multiplicity 4)  8 Li 2.83

---

b.
This record from Alexandria describes crystalline Li2CuCl at its relaxed geometry. The functional is PBE.

Values from the calculation:
Fermi-level density of states   0.05 states/eV per atom
Total magnetic moment   0.000 μB/atom
Crystal system   tetragonal

a b c (Å): 4.4433 4.4433 3.1547
angles (deg): 90.00 90.00 90.00
Closest atoms and distances in Å follow each position.
Space group P4/mmm (No. 123)
Inequivalent atoms, fractional coordinates:
Li 0.0000 0.5000 0.0000 (multiplicity 2)  4 Cl 2.72, 4 Cu 2.72
Cu 0.0000 0.0000 0.5000 (multiplicity 1)  8 Li 2.72
Cl 0.5000 0.5000 0.5000 (multiplicity 1)  8 Li 2.72

---

c.
This record from Alexandria describes crystalline Li2CuCl at its relaxed geometry. The functional is PBE.

Values from the calculation:
Fermi-level density of states   0.19 states/eV per atom
Total magnetic moment   0.000 μB/atom
Crystal system   monoclinic

a b c (Å): 6.0131 3.4622 6.8231
angles (deg): 90.00 107.15 90.00
Closest atoms and distances in Å follow each position.
Space group C2/m (No. 12)
Inequivalent atoms, fractional coordinates:
Li 0.2427 0.0000 0.2280 (multiplicity 4)  3 Cl 2.49-2.50, 3 Cu 2.67-2.68
Cu 0.0000 0.0000 0.5000 (multiplicity 2)  6 Li 2.67-2.68
Cl 0.0000 0.5000 0.0000 (multiplicity 2)  6 Li 2.49-2.50

---

d.
This record from Alexandria describes crystalline Li2CuCl at its relaxed geometry. The functional is PBE.

Values from the calculation:
Fermi-level density of states   0.09 states/eV per atom
Total magnetic moment   0.000 μB/atom
Crystal system   tetragonal

a b c (Å): 3.4868 3.4868 13.0903
angles (deg): 90.00 90.00 90.00
Closest atoms and distances in Å follow each position.
Space group I-4m2 (No. 119)
Inequivalent atoms, fractional coordinates:
Li 0.0000 0.0000 0.0000 (multiplicity 2)  4 Cu 2.47
Li 0.0000 0.5000 0.2500 (multiplicity 2)  4 Cl 2.47
Cu 0.0000 0.0000 0.5000 (multiplicity 2)  4 Li 2.47
Cl 0.0000 0.5000 0.7500 (multiplicity 2)  4 Li 2.47

---

Among the structures shown above, c is the most stable, with the second-best lying 9.4 kJ/mol of atoms higher.